Record 1
# KLa2ScTe, optimized geometry, DFT PBE
# Calculated volume in A^3/atom: 37.1
# Formation energy from raw total energies in eV/atom: 0.380
data_KLa2ScTe
_space_group_name_H-M_alt 'P 4/m m m'
_space_group_IT_number 123
_space_group_name_Hall '-P 4 2'
_cell_length_a 5.658
_cell_length_b 5.658
_cell_length_c 5.795
_cell_angle_alpha 90.00
_cell_angle_beta 90.00
_cell_angle_gamma 90.00
loop_
_atom_site_label
_atom_site_fract_x
_atom_site_fract_y
_atom_site_fract_z
K1 0.000 0.000 0.000
La1 0.000 0.500 0.500
Sc1 0.000 0.000 0.500
Te1 0.500 0.500 0.000



Record 2
# KLa2ScTi, optimized geometry, DFT PBE
# Formation energy from the elements in meV/atom: 918
# Calculated volume in A^3/atom: 36.8
data_KLa2ScTi
_space_group_name_H-M_alt 'P 4/m m m'
_space_group_IT_number 123
_space_group_name_Hall '-P 4 2'
_cell_length_a 5.554
_cell_length_b 5.554
_cell_length_c 5.969
_cell_angle_alpha 90.00
_cell_angle_beta 90.00
_cell_angle_gamma 90.00
loop_
_atom_site_label
_atom_site_fract_x
_atom_site_fract_y
_atom_site_fract_z
K1 0.000 0.000 0.000
La1 0.000 0.500 0.500
Sc1 0.500 0.500 0.000
Ti1 0.000 0.000 0.500



Record 3
# KLaScTl2, optimized geometry, DFT PBE
# Formation energy from the elements in meV/atom: 507
# Calculated volume in A^3/atom: 42.8
data_KLaScTl2
_space_group_name_H-M_alt 'P 4/m m m'
_space_group_IT_number 123
_space_group_name_Hall '-P 4 2'
_cell_length_a 6.183
_cell_length_b 6.183
_cell_length_c 5.602
_cell_angle_alpha 90.00
_cell_angle_beta 90.00
_cell_angle_gamma 90.00
loop_
_atom_site_label
_atom_site_fract_x
_atom_site_fract_y
_atom_site_fract_z
K1 0.000 0.000 0.000
La1 0.500 0.500 0.500
Sc1 0.500 0.500 0.000
Tl1 0.000 0.500 0.500



Record 4
# KLa2YSc, optimized geometry, DFT PBE
# Formation energy from the elements in meV/atom: 831
# Calculated volume in A^3/atom: 40.3
data_KLa2YSc
_space_group_name_H-M_alt 'P 4/m m m'
_space_group_IT_number 123
_space_group_name_Hall '-P 4 2'
_cell_length_a 5.799
_cell_length_b 5.799
_cell_length_c 5.991
_cell_angle_alpha 90.00
_cell_angle_beta 90.00
_cell_angle_gamma 90.00
loop_
_atom_site_label
_atom_site_fract_x
_atom_site_fract_y
_atom_site_fract_z
K1 0.000 0.000 0.000
La1 0.000 0.500 0.500
Y1 0.500 0.500 0.000
Sc1 0.000 0.000 0.500



Record 5
# KLaSe3, optimized geometry, DFT PBE
# Energy above the most stable polymorph in this dataset in meV/atom: 839
# Calculated volume in A^3/atom: 31.4
# Formation energy from raw total energies in eV/atom: -0.163
data_KLaSe3
_space_group_name_H-M_alt 'P m -3 m'
_space_group_IT_number 221
_space_group_name_Hall '-P 4 2 3'
_cell_length_a 5.393
_cell_length_b 5.393
_cell_length_c 5.393
_cell_angle_alpha 90.00
_cell_angle_beta 90.00
_cell_angle_gamma 90.00
loop_
_atom_site_label
_atom_site_fract_x
_atom_site_fract_y
_atom_site_fract_z
K1 0.000 0.000 0.000
La1 0.500 0.500 0.500
Se1 0.000 0.000 0.500



Record 6
# KLa2Se, optimized geometry, DFT PBE
# Calculated volume in A^3/atom: 42.0
# Formation energy from raw total energies in eV/atom: -0.745
data_KLa2Se
_space_group_name_H-M_alt 'R -3 m'
_space_group_IT_number 166
_space_group_name_Hall '-R 3 2"'
_cell_length_a 4.1722
_cell_length_b 4.1722
_cell_length_c 33.4282
_cell_angle_alpha 90.00
_cell_angle_beta 90.00
_cell_angle_gamma 120.00
loop_
_atom_site_label
_atom_site_fract_x
_atom_site_fract_y
_atom_site_fract_z
K1 0.0000 0.0000 0.0000
La1 0.0000 0.0000 0.2187
Se1 0.0000 0.0000 0.5000



Record 7
# KLa2Se, optimized geometry, DFT PBE
# Calculated volume in A^3/atom: 33.6
# Formation energy from raw total energies in eV/atom: 0.016
data_KLa2Se
_space_group_name_H-M_alt 'F -4 3 m'
_space_group_IT_number 216
_space_group_name_Hall 'F -4 2 3'
_cell_length_a 8.133
_cell_length_b 8.133
_cell_length_c 8.133
_cell_angle_alpha 90.00
_cell_angle_beta 90.00
_cell_angle_gamma 90.00
loop_
_atom_site_label
_atom_site_fract_x
_atom_site_fract_y
_atom_site_fract_z
K1 0.000 0.000 0.000
La1 0.000 0.000 0.500
La2 0.250 0.250 0.250
Se1 0.250 0.250 0.750



Record 8
# KLaSe2, optimized geometry, DFT PBE
# Calculated volume in A^3/atom: 26.8
# Formation energy from raw total energies in eV/atom: -1.547
data_KLaSe2
_space_group_name_H-M_alt 'F m -3 m'
_space_group_IT_number 225
_space_group_name_Hall '-F 4 2 3'
_cell_length_a 7.545
_cell_length_b 7.545
_cell_length_c 7.545
_cell_angle_alpha 90.00
_cell_angle_beta 90.00
_cell_angle_gamma 90.00
loop_
_atom_site_label
_atom_site_fract_x
_atom_site_fract_y
_atom_site_fract_z
K1 0.000 0.000 0.000
La1 0.000 0.000 0.500
Se1 0.250 0.250 0.250



Record 9
# KLa5Se6, optimized geometry, DFT PBE
# Calculated volume in A^3/atom: 29.2
# Formation energy from raw total energies in eV/atom: -1.913
data_KLa5Se6
_space_group_name_H-M_alt 'C 1 2/m 1'
_space_group_IT_number 12
_space_group_name_Hall '-C 2y'
_cell_length_a 7.543
_cell_length_b 13.046
_cell_length_c 7.548
_cell_angle_alpha 90.00
_cell_angle_beta 109.46
_cell_angle_gamma 90.00
loop_
_atom_site_label
_atom_site_fract_x
_atom_site_fract_y
_atom_site_fract_z
K1 0.000 0.000 0.000
La1 0.000 0.162 0.500
La2 0.000 0.334 0.000
La3 0.000 0.500 0.500
Se1 0.243 0.500 0.250
Se2 0.244 0.329 0.744



Record 10
# KLa2Se, optimized geometry, DFT PBE
# Calculated volume in A^3/atom: 38.2
# Formation energy from raw total energies in eV/atom: -0.598
data_KLa2Se
_space_group_name_H-M_alt 'P 4/m m m'
_space_group_IT_number 123
_space_group_name_Hall '-P 4 2'
_cell_length_a 3.710
_cell_length_b 3.710
_cell_length_c 11.089
_cell_angle_alpha 90.00
_cell_angle_beta 90.00
_cell_angle_gamma 90.00
loop_
_atom_site_label
_atom_site_fract_x
_atom_site_fract_y
_atom_site_fract_z
K1 0.000 0.000 0.000
La1 0.500 0.500 0.339
Se1 0.000 0.000 0.500



Record 11
# KLa2Se, optimized geometry, DFT PBE
# Calculated volume in A^3/atom: 40.0
# Formation energy from raw total energies in eV/atom: -0.560
data_KLa2Se
_space_group_name_H-M_alt 'C m m m'
_space_group_IT_number 65
_space_group_name_Hall '-C 2 2'
_cell_length_a 4.251
_cell_length_b 6.467
_cell_length_c 11.651
_cell_angle_alpha 90.00
_cell_angle_beta 90.00
_cell_angle_gamma 90.00
loop_
_atom_site_label
_atom_site_fract_x
_atom_site_fract_y
_atom_site_fract_z
K1 0.000 0.000 0.000
La1 0.000 0.500 0.323
Se1 0.000 0.000 0.500



Record 12
# KLaSe2, optimized geometry, DFT PBE
# Calculated volume in A^3/atom: 39.2
# Formation energy from raw total energies in eV/atom: -1.587
data_KLaSe2
_space_group_name_H-M_alt 'I -4 2 d'
_space_group_IT_number 122
_space_group_name_Hall 'I -4 2bw'
_cell_length_a 7.973
_cell_length_b 7.973
_cell_length_c 9.874
_cell_angle_alpha 90.00
_cell_angle_beta 90.00
_cell_angle_gamma 90.00
loop_
_atom_site_label
_atom_site_fract_x
_atom_site_fract_y
_atom_site_fract_z
K1 0.000 0.000 0.000
La1 0.000 0.000 0.500
Se1 0.209 0.250 0.625



Record 13
# KLa2Se, optimized geometry, DFT PBE
# Calculated volume in A^3/atom: 37.9
# Formation energy from raw total energies in eV/atom: -0.586
data_KLa2Se
_space_group_name_H-M_alt 'I m m m'
_space_group_IT_number 71
_space_group_name_Hall '-I 2 2'
_cell_length_a 3.829
_cell_length_b 6.183
_cell_length_c 12.813
_cell_angle_alpha 90.00
_cell_angle_beta 90.00
_cell_angle_gamma 90.00
loop_
_atom_site_label
_atom_site_fract_x
_atom_site_fract_y
_atom_site_fract_z
K1 0.000 0.000 0.000
La1 0.000 0.500 0.182
Se1 0.000 0.000 0.500



Record 14
# KLaSe2, optimized geometry, DFT PBE
# Calculated volume in A^3/atom: 30.7
# Formation energy from raw total energies in eV/atom: -1.636
data_KLaSe2
_space_group_name_H-M_alt 'P 4/m m m'
_space_group_IT_number 123
_space_group_name_Hall '-P 4 2'
_cell_length_a 4.494
_cell_length_b 4.494
_cell_length_c 6.088
_cell_angle_alpha 90.00
_cell_angle_beta 90.00
_cell_angle_gamma 90.00
loop_
_atom_site_label
_atom_site_fract_x
_atom_site_fract_y
_atom_site_fract_z
K1 0.000 0.000 0.000
La1 0.500 0.500 0.500
Se1 0.000 0.000 0.500
Se2 0.500 0.500 0.000



Record 15
# KLa2Se, optimized geometry, DFT PBE
# Calculated volume in A^3/atom: 41.7
# Formation energy from raw total energies in eV/atom: -0.722
data_KLa2Se
_space_group_name_H-M_alt 'P 4 m m'
_space_group_IT_number 99
_space_group_name_Hall 'P 4 -2'
_cell_length_a 4.122
_cell_length_b 4.122
_cell_length_c 9.823
_cell_angle_alpha 90.00
_cell_angle_beta 90.00
_cell_angle_gamma 90.00
loop_
_atom_site_label
_atom_site_fract_x
_atom_site_fract_y
_atom_site_fract_z
K1 0.000 0.000 0.000
La1 0.000 0.000 0.589
La2 0.500 0.500 0.350
Se1 0.500 0.500 0.666



Record 16
# KLaSe2, optimized geometry, DFT PBE
# Calculated volume in A^3/atom: 33.0
# Formation energy from raw total energies in eV/atom: -1.661
data_KLaSe2
_space_group_name_H-M_alt 'I m m 2'
_space_group_IT_number 44
_space_group_name_Hall 'I 2 -2'
_cell_length_a 3.986
_cell_length_b 4.203
_cell_length_c 15.777
_cell_angle_alpha 90.00
_cell_angle_beta 90.00
_cell_angle_gamma 90.00
loop_
_atom_site_label
_atom_site_fract_x
_atom_site_fract_y
_atom_site_fract_z
K1 0.000 0.000 0.000
La1 0.000 0.500 0.759
Se1 0.000 0.000 0.394
Se2 0.000 0.500 0.183



Record 17
# KLa2Se, optimized geometry, DFT PBE
# Calculated volume in A^3/atom: 31.3
# Formation energy from raw total energies in eV/atom: -0.283
data_KLa2Se
_space_group_name_H-M_alt 'P 4/m m m'
_space_group_IT_number 123
_space_group_name_Hall '-P 4 2'
_cell_length_a 4.783
_cell_length_b 4.783
_cell_length_c 5.480
_cell_angle_alpha 90.00
_cell_angle_beta 90.00
_cell_angle_gamma 90.00
loop_
_atom_site_label
_atom_site_fract_x
_atom_site_fract_y
_atom_site_fract_z
K1 0.000 0.000 0.000
La1 0.000 0.500 0.500
Se1 0.500 0.500 0.000



Record 18
# KLa2Se, optimized geometry, DFT PBE
# Calculated volume in A^3/atom: 40.1
# Formation energy from raw total energies in eV/atom: -0.545
data_KLa2Se
_space_group_name_H-M_alt 'C 1 m 1'
_space_group_IT_number 8
_space_group_name_Hall 'C -2y'
_cell_length_a 10.855
_cell_length_b 3.862
_cell_length_c 8.276
_cell_angle_alpha 90.00
_cell_angle_beta 112.54
_cell_angle_gamma 90.00
loop_
_atom_site_label
_atom_site_fract_x
_atom_site_fract_y
_atom_site_fract_z
K1 0.000 0.000 0.000
La1 0.158 0.000 0.647
La2 0.368 0.000 0.366
Se1 0.146 0.500 0.356



Record 19
# KLa2Se, optimized geometry, DFT PBE
# Calculated volume in A^3/atom: 31.3
# Formation energy from raw total energies in eV/atom: -0.223
data_KLa2Se
_space_group_name_H-M_alt 'I -4 m 2'
_space_group_IT_number 119
_space_group_name_Hall 'I -4 -2'
_cell_length_a 4.688
_cell_length_b 4.688
_cell_length_c 11.408
_cell_angle_alpha 90.00
_cell_angle_beta 90.00
_cell_angle_gamma 90.00
loop_
_atom_site_label
_atom_site_fract_x
_atom_site_fract_y
_atom_site_fract_z
K1 0.000 0.000 0.000
La1 0.000 0.000 0.500
La2 0.000 0.500 0.750
Se1 0.000 0.500 0.250



Record 20
# KLa3Se4, optimized geometry, DFT PBE
# Calculated volume in A^3/atom: 30.6
# Formation energy from raw total energies in eV/atom: -1.902
data_KLa3Se4
_space_group_name_H-M_alt 'P 63/m m c'
_space_group_IT_number 194
_space_group_name_Hall '-P 6c 2c'
_cell_length_a 4.3737
_cell_length_b 4.3737
_cell_length_c 29.5312
_cell_angle_alpha 90.00
_cell_angle_beta 90.00
_cell_angle_gamma 120.00
loop_
_atom_site_label
_atom_site_fract_x
_atom_site_fract_y
_atom_site_fract_z
K1 0.3333 0.6667 0.2500
La1 0.0000 0.0000 0.0000
La2 0.3333 0.6667 0.6182
Se1 0.0000 0.0000 0.1741
Se2 0.3333 0.6667 0.0595